VASP calculation (PBE-GGA) on a geometry-optimized NaTl2Se2 structure.

```
NaTl2Se2
1.0
5.865 1.752 0.000
1.544 6.998 0.000
-3.705 -4.375 8.564
Tl Na Se
4 2 4
direct
0.170 0.170 0.840
0.633 0.211 0.500
0.367 0.789 0.500
0.830 0.830 0.160
0.849 0.349 0.197
0.151 0.651 0.803
0.659 0.659 0.817
0.095 0.298 0.500
0.341 0.341 0.183
0.905 0.702 0.500
```

Values from the calculation:
* ΔE_f (raw): -42 kJ/mol of atoms
* calculated density: 5.96 g cm⁻³
* space-group type: C2/m
* magnetization: 0.0 Bohr magnetons per cell

=====

VASP calculation (PBE-GGA) on a geometry-optimized NaTlSe2 structure.

```
NaTlSe2
1.0
-5.949 5.390 0.429
-4.039 -4.006 -5.681
-6.379 -1.010 -0.441
Na Se Tl
2 4 2
direct
0.250 0.750 0.500
0.750 0.250 0.500
0.750 0.750 0.000
0.250 0.750 0.000
0.750 0.250 0.000
0.250 0.250 0.000
0.250 0.250 0.500
0.750 0.750 0.500
```

Values from the calculation:
* ΔE_f (raw): -36 kJ/mol of atoms
* calculated density: 6.39 g cm⁻³
* space-group type: P4/mmm
* magnetization: 0.0 Bohr magnetons per cell

=====

VASP calculation (PBE-GGA) on a geometry-optimized NaTlSe structure.

```
NaTlSe
1.0
4.410 0.000 0.000
-2.205 3.819 0.000
0.000 0.000 5.618
Se Na Tl
1 1 1
direct
0.667 0.333 0.314
0.000 0.000 0.081
0.333 0.667 0.605
```

Values from the calculation:
* ΔE_f (raw): -63 kJ/mol of atoms
* calculated density: 5.38 g cm⁻³
* space-group type: P3m1
* magnetization: 0.0 Bohr magnetons per cell

=====

VASP calculation (PBE-GGA) on a geometry-optimized NaTlSe2 structure.

```
NaTlSe2
1.0
-9.577 12.169 -9.957
-2.762 -3.847 -2.045
0.607 -4.814 8.237
Se Tl Na
8 4 4
direct
0.938 0.112 0.758
0.439 0.183 0.028
0.061 0.683 0.472
0.939 0.317 0.528
0.438 0.388 0.258
0.062 0.888 0.242
0.562 0.612 0.742
0.561 0.817 0.972
0.619 0.884 0.526
0.119 0.616 0.026
0.381 0.116 0.474
0.881 0.384 0.974
0.174 0.178 0.738
0.674 0.322 0.238
0.326 0.678 0.762
0.826 0.822 0.262
```

Values from the calculation:
* ΔE_f (raw): -51 kJ/mol of atoms
* calculated density: 5.08 g cm⁻³
* space-group type: P2_1/c
* magnetization: 0.0 Bohr magnetons per cell

=====

VASP calculation (PBE-GGA) on a geometry-optimized NaTl3Se2 structure.

```
NaTl3Se2
1.0
-1.052 1.101 4.220
6.930 -2.863 4.858
6.046 8.938 1.561
Se Tl Na
4 6 2
direct
0.860 0.443 0.836
0.616 0.220 0.548
0.384 0.780 0.452
0.140 0.557 0.164
0.060 0.127 0.754
0.653 0.713 0.982
0.347 0.287 0.018
0.764 0.839 0.634
0.940 0.873 0.246
0.236 0.161 0.366
0.581 0.502 0.337
0.419 0.498 0.663
```

Values from the calculation:
* ΔE_f (raw): -52 kJ/mol of atoms
* calculated density: 6.51 g cm⁻³
* space-group type: C2/m
* magnetization: 0.0 Bohr magnetons per cell

=====

VASP calculation (PBE-GGA) on a geometry-optimized NaTlSe structure.

```
NaTlSe
1.0
4.749 -0.002 0.003
0.003 7.460 0.334
-0.003 -2.081 4.968
Se Tl Na
2 2 2
direct
0.752 0.216 0.364
0.252 0.791 0.639
0.752 0.588 0.260
0.252 0.420 0.743
0.752 0.043 0.783
0.252 0.965 0.221
```

Values from the calculation:
* ΔE_f (raw): -69 kJ/mol of atoms
* calculated density: 5.67 g cm⁻³
* space-group type: P2_1/m
* magnetization: 0.0 Bohr magnetons per cell

=====

VASP calculation (PBE-GGA) on a geometry-optimized NaTl2Se structure.

```
NaTl2Se
1.0
5.069 0.000 0.000
0.000 4.666 0.000
0.000 0.000 4.666
Tl Na Se
2 1 1
direct
0.000 0.000 0.500
0.000 0.500 0.000
0.500 0.500 0.500
0.500 0.000 0.000
```

Values from the calculation:
* ΔE_f (raw): -38 kJ/mol of atoms
* calculated density: 7.68 g cm⁻³
* space-group type: P4/mmm
* magnetization: 0.0 Bohr magnetons per cell

=====

VASP calculation (PBE-GGA) on a geometry-optimized NaTlSe2 structure.

```
NaTlSe2
1.0
4.905 -0.371 1.715
1.035 0.564 5.074
1.464 -4.119 2.833
Na Se Tl
1 2 1
direct
0.000 0.000 0.000
0.250 0.250 0.250
0.750 0.750 0.750
0.500 0.500 0.500
```

Values from the calculation:
* ΔE_f (raw): -24 kJ/mol of atoms
* calculated density: 6.40 g cm⁻³
* space-group type: Fm-3m
* magnetization: 0.0 Bohr magnetons per cell

=====

VASP calculation (PBE-GGA) on a geometry-optimized NaTl2Se structure.

```
NaTl2Se
1.0
8.784 0.000 0.000
0.000 8.784 0.000
4.392 4.392 3.133
Tl Na Se
4 2 2
direct
0.656 0.125 0.250
0.375 0.344 0.750
0.094 0.625 0.250
0.875 0.906 0.750
0.500 0.500 0.000
0.250 0.750 0.500
0.750 0.250 0.500
0.000 0.000 0.000
```

Values from the calculation:
* ΔE_f (raw): -35 kJ/mol of atoms
* calculated density: 7.02 g cm⁻³
* space-group type: I-42d
* magnetization: 0.0 Bohr magnetons per cell

=====

VASP calculation (PBE-GGA) on a geometry-optimized NaTlSe2 structure.

```
NaTlSe2
1.0
-0.753 6.934 0.592
-0.160 -0.761 8.707
7.450 0.791 0.206
Se Na Tl
8 4 4
direct
0.472 0.905 0.232
0.529 0.595 0.643
0.028 0.405 0.732
0.971 0.095 0.143
0.972 0.595 0.232
0.029 0.905 0.643
0.528 0.095 0.732
0.471 0.405 0.143
0.750 0.338 0.437
0.250 0.662 0.937
0.750 0.838 0.937
0.250 0.162 0.437
0.250 0.212 0.937
0.750 0.788 0.437
0.250 0.712 0.437
0.750 0.288 0.937
```

Values from the calculation:
* ΔE_f (raw): -52 kJ/mol of atoms
* calculated density: 5.58 g cm⁻³
* space-group type: Pbcn
* magnetization: 0.0 Bohr magnetons per cell

=====

VASP calculation (PBE-GGA) on a geometry-optimized NaTlSe2 structure.

```
NaTlSe2
1.0
4.108 0.000 0.000
2.054 3.558 0.000
2.054 1.186 7.287
Tl Se Na
1 2 1
direct
0.667 0.667 0.999
0.258 0.258 0.226
0.076 0.076 0.773
0.499 0.499 0.502
```

Values from the calculation:
* ΔE_f (raw): -47 kJ/mol of atoms
* calculated density: 6.01 g cm⁻³
* space-group type: R3m
* magnetization: 0.0 Bohr magnetons per cell

=====

VASP calculation (PBE-GGA) on a geometry-optimized NaTlSe structure.

```
NaTlSe
1.0
-5.143 0.104 0.525
-2.178 -1.537 4.431
-2.209 3.469 3.134
Tl Se Na
1 1 1
direct
0.000 0.000 0.000
0.250 0.250 0.250
0.500 0.500 0.500
```

Values from the calculation:
* ΔE_f (raw): -61 kJ/mol of atoms
* calculated density: 5.20 g cm⁻³
* space-group type: F-43m
* magnetization: 0.0 Bohr magnetons per cell